Record 1
Below is LuZn6 after structural relaxation, with properties calculated at the PBE level.

The total energy is -1.3825 eV per atom. Its formation energy is 0.355 eV per atom. As for the density of states at the Fermi level: 0.551 states/eV per atom. As for the space group: Im-3m. Its volume is 21.9 Å³/atom.

Cell and atoms, written as CIF:
```
data_LuZn6
_space_group_name_H-M_alt 'P 1'
_space_group_IT_number 1
_cell_length_a 6.747
_cell_length_b 6.747
_cell_length_c 6.747
_cell_angle_alpha 90.00
_cell_angle_beta 90.00
_cell_angle_gamma 90.00
loop_
_space_group_symop_operation_xyz
'x,y,z'
loop_
_atom_site_label
_atom_site_type_symbol
_atom_site_fract_x
_atom_site_fract_y
_atom_site_fract_z
Lu1 Lu 0.000 0.000 0.000
Lu2 Lu 0.500 0.500 0.500
Zn1 Zn 0.000 0.250 0.500
Zn2 Zn 0.000 0.500 0.250
Zn3 Zn 0.000 0.500 0.750
Zn4 Zn 0.000 0.750 0.500
Zn5 Zn 0.250 0.000 0.500
Zn6 Zn 0.250 0.500 0.000
Zn7 Zn 0.500 0.000 0.250
Zn8 Zn 0.500 0.000 0.750
Zn9 Zn 0.500 0.250 0.000
Zn10 Zn 0.500 0.750 0.000
Zn11 Zn 0.750 0.000 0.500
Zn12 Zn 0.750 0.500 0.000
```



Record 2
Below is Lu3Zn after structural relaxation, with properties calculated at the PBE level.

The total energy is -3.6595 eV per atom. Its formation energy is 0.050 eV per atom. As for the density of states at the Fermi level: 1.055 states/eV per atom. As for the space group: Fm-3m. Its volume is 25.1 Å³/atom.

Cell and atoms, written as CIF:
```
data_Lu3Zn
_space_group_name_H-M_alt 'P 1'
_space_group_IT_number 1
_cell_length_a 7.379
_cell_length_b 7.379
_cell_length_c 7.379
_cell_angle_alpha 90.00
_cell_angle_beta 90.00
_cell_angle_gamma 90.00
loop_
_space_group_symop_operation_xyz
'x,y,z'
loop_
_atom_site_label
_atom_site_type_symbol
_atom_site_fract_x
_atom_site_fract_y
_atom_site_fract_z
Lu1 Lu 0.000 0.000 0.000
Lu2 Lu 0.000 0.500 0.500
Lu3 Lu 0.250 0.250 0.250
Lu4 Lu 0.250 0.250 0.750
Lu5 Lu 0.250 0.750 0.250
Lu6 Lu 0.250 0.750 0.750
Lu7 Lu 0.500 0.000 0.500
Lu8 Lu 0.500 0.500 0.000
Lu9 Lu 0.750 0.250 0.250
Lu10 Lu 0.750 0.250 0.750
Lu11 Lu 0.750 0.750 0.250
Lu12 Lu 0.750 0.750 0.750
Zn1 Zn 0.000 0.000 0.500
Zn2 Zn 0.000 0.500 0.000
Zn3 Zn 0.500 0.000 0.000
Zn4 Zn 0.500 0.500 0.500
```



Record 3
Below is Lu3Zn after structural relaxation, with properties calculated at the PBE level.

The total energy is -3.7084 eV per atom. Its formation energy is 0.001 eV per atom. As for the density of states at the Fermi level: 1.316 states/eV per atom. As for the space group: I4/mmm. Its volume is 25.1 Å³/atom.

Cell and atoms, written as CIF:
```
data_Lu3Zn
_space_group_name_H-M_alt 'P 1'
_space_group_IT_number 1
_cell_length_a 4.623
_cell_length_b 4.623
_cell_length_c 9.381
_cell_angle_alpha 90.00
_cell_angle_beta 90.00
_cell_angle_gamma 90.00
loop_
_space_group_symop_operation_xyz
'x,y,z'
loop_
_atom_site_label
_atom_site_type_symbol
_atom_site_fract_x
_atom_site_fract_y
_atom_site_fract_z
Lu1 Lu 0.000 0.000 0.000
Lu2 Lu 0.000 0.500 0.250
Lu3 Lu 0.000 0.500 0.750
Lu4 Lu 0.500 0.000 0.250
Lu5 Lu 0.500 0.000 0.750
Lu6 Lu 0.500 0.500 0.500
Zn1 Zn 0.000 0.000 0.500
Zn2 Zn 0.500 0.500 0.000
```



Record 4
Below is Lu3Zn after structural relaxation, with properties calculated at the PBE level.

The total energy is -3.7411 eV per atom. Its formation energy is -0.032 eV per atom. As for the density of states at the Fermi level: 1.111 states/eV per atom. As for the space group: Pm-3m. Its volume is 25.1 Å³/atom.

Cell and atoms, written as CIF:
```
data_Lu3Zn
_space_group_name_H-M_alt 'P 1'
_space_group_IT_number 1
_cell_length_a 4.647
_cell_length_b 4.647
_cell_length_c 4.647
_cell_angle_alpha 90.00
_cell_angle_beta 90.00
_cell_angle_gamma 90.00
loop_
_space_group_symop_operation_xyz
'x,y,z'
loop_
_atom_site_label
_atom_site_type_symbol
_atom_site_fract_x
_atom_site_fract_y
_atom_site_fract_z
Lu1 Lu 0.000 0.000 0.500
Lu2 Lu 0.000 0.500 0.000
Lu3 Lu 0.500 0.000 0.000
Zn1 Zn 0.500 0.500 0.500
```



Record 5
Below is Lu3Zn after structural relaxation, with properties calculated at the PBE level.

The total energy is -3.6060 eV per atom. Its formation energy is 0.103 eV per atom. As for the density of states at the Fermi level: 1.112 states/eV per atom. As for the space group: Pmm2. Its volume is 27.7 Å³/atom.

Cell and atoms, written as CIF:
```
data_Lu3Zn
_space_group_name_H-M_alt 'P 1'
_space_group_IT_number 1
_cell_length_a 3.396
_cell_length_b 3.587
_cell_length_c 9.099
_cell_angle_alpha 90.00
_cell_angle_beta 90.00
_cell_angle_gamma 90.00
loop_
_space_group_symop_operation_xyz
'x,y,z'
loop_
_atom_site_label
_atom_site_type_symbol
_atom_site_fract_x
_atom_site_fract_y
_atom_site_fract_z
Lu1 Lu 0.000 0.000 0.000
Lu2 Lu 0.000 0.500 0.319
Lu3 Lu 0.500 0.500 0.740
Zn1 Zn 0.500 0.000 0.484
```



Record 6
Below is LuZn after structural relaxation, with properties calculated at the PBE level.

The total energy is -3.2498 eV per atom. Its formation energy is -0.352 eV per atom. As for the density of states at the Fermi level: 0.768 states/eV per atom. As for the space group: Pm-3m. Its volume is 21.3 Å³/atom.

Cell and atoms, written as CIF:
```
data_LuZn
_space_group_name_H-M_alt 'P 1'
_space_group_IT_number 1
_cell_length_a 3.494
_cell_length_b 3.494
_cell_length_c 3.494
_cell_angle_alpha 90.00
_cell_angle_beta 90.00
_cell_angle_gamma 90.00
loop_
_space_group_symop_operation_xyz
'x,y,z'
loop_
_atom_site_label
_atom_site_type_symbol
_atom_site_fract_x
_atom_site_fract_y
_atom_site_fract_z
Lu1 Lu 0.000 0.000 0.000
Zn1 Zn 0.500 0.500 0.500
```



Question: Look up the total energy of the sixth one.
Answer: -3.2498 eV per atom



Question: What is the formula in the second record?
Answer: Lu3Zn



Repeat the fifth record exactly.
Below is Lu3Zn after structural relaxation, with properties calculated at the PBE level.

The total energy is -3.6060 eV per atom. Its formation energy is 0.103 eV per atom. As for the density of states at the Fermi level: 1.112 states/eV per atom. As for the space group: Pmm2. Its volume is 27.7 Å³/atom.

Cell and atoms, written as CIF:
```
data_Lu3Zn
_space_group_name_H-M_alt 'P 1'
_space_group_IT_number 1
_cell_length_a 3.396
_cell_length_b 3.587
_cell_length_c 9.099
_cell_angle_alpha 90.00
_cell_angle_beta 90.00
_cell_angle_gamma 90.00
loop_
_space_group_symop_operation_xyz
'x,y,z'
loop_
_atom_site_label
_atom_site_type_symbol
_atom_site_fract_x
_atom_site_fract_y
_atom_site_fract_z
Lu1 Lu 0.000 0.000 0.000
Lu2 Lu 0.000 0.500 0.319
Lu3 Lu 0.500 0.500 0.740
Zn1 Zn 0.500 0.000 0.484
```